# KMg6BO8 PBE relaxed
data_KMg6BO8
_chemical_formula_sum 'K1 Mg6 B1 O8'
_space_group_name_H-M_alt 'P 1'
_space_group_IT_number 1
_cell_length_a 4.481
_cell_length_b 4.481
_cell_length_c 8.520
_cell_angle_alpha 90.00
_cell_angle_beta 90.00
_cell_angle_gamma 90.00
loop_
_space_group_symop_operation_xyz
'x,y,z'
loop_
_atom_site_label
_atom_site_fract_x
_atom_site_fract_y
_atom_site_fract_z
Mg1 0.500 0.000 0.770
Mg2 0.000 0.500 0.770
O1 0.000 0.500 0.000
B1 0.500 0.500 0.000
O2 0.500 0.000 0.000
K1 0.000 0.000 0.000
O3 0.000 0.500 0.500
O4 0.500 0.500 0.827
Mg3 0.500 0.500 0.500
O5 0.000 0.000 0.724
Mg4 0.000 0.500 0.230
O6 0.500 0.500 0.173
Mg5 0.500 0.000 0.230
Mg6 0.000 0.000 0.500
O7 0.500 0.000 0.500
O8 0.000 0.000 0.276
# space group = P4/mmm, No. 123
# distance to the lowest polymorph of the same formula = 0.2271 eV per atom

***

# KMg14BO15 PBE relaxed
data_KMg14BO15
_chemical_formula_sum 'K1 Mg14 B1 O15'
_space_group_name_H-M_alt 'P 1'
_space_group_IT_number 1
_cell_length_a 4.414
_cell_length_b 8.511
_cell_length_c 8.652
_cell_angle_alpha 90.00
_cell_angle_beta 90.00
_cell_angle_gamma 90.00
loop_
_space_group_symop_operation_xyz
'x,y,z'
loop_
_atom_site_label
_atom_site_fract_x
_atom_site_fract_y
_atom_site_fract_z
Mg1 0.500 0.748 0.000
O1 0.500 0.748 0.256
O2 0.000 0.001 0.280
Mg2 0.500 0.259 0.500
O3 0.000 0.273 0.000
Mg3 0.000 0.740 0.241
K1 0.000 0.999 0.000
Mg4 0.000 0.256 0.759
Mg5 0.500 0.498 0.252
Mg6 0.000 0.499 0.000
Mg7 0.000 0.994 0.500
O4 0.500 0.497 0.500
Mg8 0.000 0.256 0.241
Mg9 0.500 0.999 0.252
O5 0.500 0.997 0.000
O6 0.500 0.748 0.744
O7 0.500 0.003 0.500
Mg10 0.500 0.999 0.748
O8 0.000 0.499 0.748
Mg11 0.500 0.498 0.748
Mg12 0.000 0.740 0.759
O9 0.500 0.249 0.746
O10 0.000 0.316 0.500
O11 0.500 0.249 0.254
Mg13 0.500 0.249 0.000
O12 0.000 0.001 0.720
O13 0.000 0.499 0.252
O14 0.500 0.499 0.000
Mg14 0.500 0.732 0.500
O15 0.000 0.724 0.000
B1 0.000 0.482 0.500
# space group = Pmm2, No. 25
# distance to the lowest polymorph of the same formula = 0.0820 eV per atom

***

# KMg6BO7 PBE relaxed
data_KMg6BO7
_chemical_formula_sum 'K1 Mg6 B1 O7'
_space_group_name_H-M_alt 'P 1'
_space_group_IT_number 1
_cell_length_a 4.453
_cell_length_b 4.453
_cell_length_c 8.565
_cell_angle_alpha 90.00
_cell_angle_beta 90.00
_cell_angle_gamma 90.00
loop_
_space_group_symop_operation_xyz
'x,y,z'
loop_
_atom_site_label
_atom_site_fract_x
_atom_site_fract_y
_atom_site_fract_z
Mg1 0.000 0.500 0.758
O1 0.500 0.500 0.264
Mg2 0.000 0.500 0.243
O2 0.500 0.000 0.506
Mg3 0.500 0.500 0.494
B1 0.500 0.500 0.942
Mg4 0.500 0.000 0.758
O3 0.000 0.500 0.506
O4 0.000 0.000 0.735
O5 0.500 0.500 0.780
Mg5 0.000 0.000 0.508
Mg6 0.500 0.000 0.243
O6 0.000 0.500 0.989
O7 0.500 0.000 0.989
K1 0.000 0.000 0.037
# space group = P4mm, No. 99
# distance to the lowest polymorph of the same formula = 0.2082 eV per atom

***

# KMg14BO15 PBE relaxed
data_KMg14BO15
_chemical_formula_sum 'K1 Mg14 B1 O15'
_space_group_name_H-M_alt 'P 1'
_space_group_IT_number 1
_cell_length_a 4.476
_cell_length_b 8.501
_cell_length_c 8.619
_cell_angle_alpha 90.00
_cell_angle_beta 90.00
_cell_angle_gamma 90.00
loop_
_space_group_symop_operation_xyz
'x,y,z'
loop_
_atom_site_label
_atom_site_fract_x
_atom_site_fract_y
_atom_site_fract_z
K1 0.000 0.036 0.000
Mg1 0.500 0.996 0.749
Mg2 0.500 0.748 0.000
Mg3 0.500 0.501 0.731
O1 0.000 0.732 0.500
Mg4 0.000 0.755 0.758
O2 0.500 0.990 0.500
O3 0.500 0.499 0.000
Mg5 0.000 0.995 0.500
O4 0.000 0.992 0.727
Mg6 0.500 0.258 0.000
Mg7 0.000 0.755 0.242
Mg8 0.000 0.487 0.000
O5 0.500 0.252 0.252
O6 0.000 0.719 0.000
Mg9 0.000 0.251 0.722
O7 0.000 0.507 0.336
Mg10 0.500 0.749 0.500
Mg11 0.000 0.251 0.278
Mg12 0.500 0.996 0.251
B1 0.000 0.561 0.500
O8 0.500 0.745 0.250
O9 0.500 0.508 0.500
O10 0.000 0.227 0.500
O11 0.000 0.507 0.664
O12 0.000 0.992 0.273
Mg13 0.500 0.249 0.500
O13 0.500 0.745 0.750
O14 0.500 0.252 0.748
Mg14 0.500 0.501 0.269
O15 0.500 0.994 0.000
# space group = Pmm2, No. 25
# distance to the lowest polymorph of the same formula = 0.0385 eV per atom

***

# KMg14BO15 PBE relaxed
data_KMg14BO15
_chemical_formula_sum 'K1 Mg14 B1 O15'
_space_group_name_H-M_alt 'P 1'
_space_group_IT_number 1
_cell_length_a 4.463
_cell_length_b 8.203
_cell_length_c 8.848
_cell_angle_alpha 90.00
_cell_angle_beta 90.00
_cell_angle_gamma 90.00
loop_
_space_group_symop_operation_xyz
'x,y,z'
loop_
_atom_site_label
_atom_site_fract_x
_atom_site_fract_y
_atom_site_fract_z
Mg1 0.000 0.250 0.747
K1 0.000 0.000 0.010
O1 0.500 0.500 0.514
O2 0.000 0.255 0.510
Mg2 0.000 0.257 0.266
O3 0.000 0.000 0.280
O4 0.500 0.750 0.246
O5 0.500 0.000 0.994
Mg3 0.000 0.743 0.266
O6 0.000 0.745 0.510
Mg4 0.500 0.000 0.258
Mg5 0.500 0.259 0.997
Mg6 0.500 0.741 0.997
O7 0.000 0.669 0.984
Mg7 0.000 0.750 0.747
Mg8 0.500 0.749 0.507
O8 0.500 0.250 0.246
O9 0.000 0.500 0.275
O10 0.500 0.749 0.752
O11 0.000 0.000 0.733
Mg9 0.500 0.000 0.752
Mg10 0.500 0.500 0.756
O12 0.500 0.500 0.990
Mg11 0.000 0.000 0.506
Mg12 0.000 0.500 0.498
O13 0.500 0.000 0.503
O14 0.000 0.331 0.984
O15 0.500 0.251 0.752
Mg13 0.500 0.500 0.235
B1 0.000 0.500 0.933
Mg14 0.500 0.251 0.507
# space group = Pmm2, No. 25
# distance to the lowest polymorph of the same formula = 0.0070 eV per atom

***

# KMgBSb2 PBE relaxed
data_KMgBSb2
_chemical_formula_sum 'K1 Mg1 B1 Sb2'
_space_group_name_H-M_alt 'P 1'
_space_group_IT_number 1
_cell_length_a 5.924
_cell_length_b 5.737
_cell_length_c 5.924
_cell_angle_alpha 90.00
_cell_angle_beta 90.00
_cell_angle_gamma 90.00
loop_
_space_group_symop_operation_xyz
'x,y,z'
loop_
_atom_site_label
_atom_site_fract_x
_atom_site_fract_y
_atom_site_fract_z
Sb1 0.500 0.000 0.000
Mg1 0.000 0.500 0.000
K1 0.000 0.000 0.000
Sb2 0.000 0.000 0.500
B1 0.500 0.500 0.500
# space group = P4/mmm, No. 123
# E_tot = -0.111 Ry/atom

***

# K2MgBSb PBE relaxed
data_K2MgBSb
_chemical_formula_sum 'K2 Mg1 B1 Sb1'
_space_group_name_H-M_alt 'P 1'
_space_group_IT_number 1
_cell_length_a 6.740
_cell_length_b 5.184
_cell_length_c 6.740
_cell_angle_alpha 90.00
_cell_angle_beta 90.00
_cell_angle_gamma 90.00
loop_
_space_group_symop_operation_xyz
'x,y,z'
loop_
_atom_site_label
_atom_site_fract_x
_atom_site_fract_y
_atom_site_fract_z
K1 0.500 0.000 0.000
K2 0.000 0.000 0.500
Mg1 0.000 0.000 0.000
Sb1 0.000 0.500 0.000
B1 0.500 0.500 0.500
# space group = P4/mmm, No. 123
# E_tot = -0.137 Ry/atom

***

# K2MgBSe PBE relaxed
data_K2MgBSe
_chemical_formula_sum 'K2 Mg1 B1 Se1'
_space_group_name_H-M_alt 'P 1'
_space_group_IT_number 1
_cell_length_a 6.291
_cell_length_b 4.160
_cell_length_c 6.291
_cell_angle_alpha 90.00
_cell_angle_beta 90.00
_cell_angle_gamma 90.00
loop_
_space_group_symop_operation_xyz
'x,y,z'
loop_
_atom_site_label
_atom_site_fract_x
_atom_site_fract_y
_atom_site_fract_z
B1 0.000 0.000 0.000
K1 0.000 0.000 0.500
Se1 0.000 0.500 0.000
K2 0.500 0.000 0.000
Mg1 0.500 0.500 0.500
# space group = P4/mmm, No. 123
# E_tot = -0.175 Ry/atom